# Rb3Np3TiSe8, optimized geometry, DFT PBE
data_Rb3Np3TiSe8
_cell_length_a 9.462
_cell_length_b 9.462
_cell_length_c 9.462
_cell_angle_alpha 51.59
_cell_angle_beta 51.59
_cell_angle_gamma 51.59
_space_group_name_H-M_alt 'P 1'
_space_group_IT_number 1
loop_
_space_group_symop_operation_xyz
'x,y,z'
loop_
_atom_site_label
_atom_site_type_symbol
_atom_site_fract_x
_atom_site_fract_y
_atom_site_fract_z
_atom_site_occupancy
Rb1 Rb 0.000 0.500 0.500 1
Rb2 Rb 0.500 0.000 0.500 1
Rb3 Rb 0.500 0.500 0.000 1
Np1 Np 0.000 0.000 0.500 1
Np2 Np 0.000 0.500 0.000 1
Np3 Np 0.500 0.000 0.000 1
Ti1 Ti 0.500 0.500 0.500 1
Se1 Se 0.233 0.233 0.233 1
Se2 Se 0.249 0.718 0.718 1
Se3 Se 0.282 0.282 0.751 1
Se4 Se 0.282 0.751 0.282 1
Se5 Se 0.718 0.249 0.718 1
Se6 Se 0.718 0.718 0.249 1
Se7 Se 0.751 0.282 0.282 1
Se8 Se 0.767 0.767 0.767 1
# DOS(E_F) ... 2.026 states/eV/atom
# VASP energy ... -95.685 eV/cell
# Total moment ... 12.00 μB/f.u.